1.
A geometry-optimized Nd4GeSb3 structure, computed with GGA-PBE.

The structure in extended XYZ format:
```
8
Lattice="6.325 0.000 0.000 0.000 6.325 0.000 0.000 0.000 6.325" Properties=species:S:1:pos:R:3 pbc="T T T"
Sb 0.000 3.163 3.163
Sb 3.163 0.000 3.163
Sb 3.163 3.163 0.000
Ge 0.000 0.000 0.000
Nd 3.163 0.000 0.000
Nd 0.000 3.163 0.000
Nd 0.000 0.000 3.163
Nd 3.163 3.163 3.163
```

Calculated values
DOS(E_F): 5.73 states/eV/cell
energy relative to the elements, uncorrected: -8.3 eV per formula unit

---

2.
A geometry-optimized YTa2Os structure, computed with GGA-PBE.

The structure in extended XYZ format:
```
4
Lattice="-1.112 2.483 5.053 2.880 -1.703 4.663 0.239 2.250 -5.274" Properties=species:S:1:pos:R:3 pbc="T T T"
Os 2.001 0.469 2.123
Ta 0.041 0.018 0.224
Ta 0.843 0.372 4.634
Y 0.005 2.561 2.318
```

Calculated values
E_form: 0.001 eV per atom
DOS(E_F): 3.01 states/eV/cell

---

3.
A geometry-optimized ZrHg2Au structure, computed with GGA-PBE.

The structure in extended XYZ format:
```
4
Lattice="5.639 -0.015 0.000 -2.316 5.142 0.000 0.000 0.000 2.958" Properties=species:S:1:pos:R:3 pbc="T T T"
Au -1.158 2.571 1.479
Hg 0.000 0.000 0.000
Hg 1.662 2.563 0.000
Zr 2.820 -0.008 1.479
```

Calculated values
E_form: 0.025 eV per atom
DOS(E_F): 4.37 states/eV/cell

---

4.
A geometry-optimized KBa2Ge2 structure, computed with GGA-PBE.

The structure in extended XYZ format:
```
5
Lattice="5.862 0.000 0.000 0.000 5.862 0.000 2.931 2.931 6.388" Properties=species:S:1:pos:R:3 pbc="T T T"
K 0.000 0.000 0.000
Ge 5.862 2.931 3.194
Ge 2.931 5.862 3.194
Ba 2.931 2.931 1.928
Ba 5.862 5.862 4.460
```

Calculated values
E_form: -0.009 eV per atom
DOS(E_F): 4.46 states/eV/cell

---

5.
A geometry-optimized Tb2CdGe3Pd4 structure, computed with GGA-PBE.

The structure in extended XYZ format:
```
10
Lattice="4.169 0.000 0.000 0.000 4.169 0.000 0.000 0.000 11.113" Properties=species:S:1:pos:R:3 pbc="T T T"
Tb 2.085 0.000 2.669
Tb 0.000 2.085 8.444
Cd 2.085 2.085 5.557
Ge 0.000 0.000 5.557
Ge 2.085 0.000 9.685
Ge 0.000 2.085 1.428
Pd 2.085 2.085 0.000
Pd 0.000 0.000 0.000
Pd 2.085 0.000 7.273
Pd 0.000 2.085 3.840
```

Calculated values
E_form: -0.715 eV per atom
DOS(E_F): 5.43 states/eV/cell

---

6.
A geometry-optimized LaZn2ReTe structure, computed with GGA-PBE.

The structure in extended XYZ format:
```
5
Lattice="-1.095 3.684 -4.544 -2.400 -4.524 -3.090 -5.340 1.258 2.306" Properties=species:S:1:pos:R:3 pbc="T T T"
Re -4.417 0.209 -2.664
Zn -2.670 0.629 1.153
Zn -0.547 1.842 -2.272
Te -1.200 -2.262 -1.545
La 0.000 0.000 0.000
```

Calculated values
DOS(E_F): 4.20 states/eV/cell
energy relative to the elements, uncorrected: 7.8 eV per formula unit

---

7.
A geometry-optimized Sr2TaPb2 structure, computed with GGA-PBE.

The structure in extended XYZ format:
```
5
Lattice="-2.212 2.212 7.610 2.212 -2.212 7.610 2.212 2.212 -7.610" Properties=species:S:1:pos:R:3 pbc="T T T"
Sr 2.212 0.000 3.805
Sr 0.000 2.212 3.805
Ta 0.000 0.000 0.000
Pb 0.000 0.000 9.013
Pb 0.000 0.000 6.207
```

Calculated values
E_form: 0.837 eV per atom
DOS(E_F): 3.43 states/eV/cell

---

8.
A geometry-optimized YAl2P structure, computed with GGA-PBE.

The structure in extended XYZ format:
```
4
Lattice="3.489 0.000 0.000 0.000 3.489 0.000 0.000 0.000 6.203" Properties=species:S:1:pos:R:3 pbc="T T T"
Y 1.745 1.745 4.591
P 0.000 0.000 2.788
Al 0.000 0.000 0.295
Al 1.745 1.745 1.630
```

Calculated values
E_form: -0.439 eV per atom
DOS(E_F): 2.42 states/eV/cell

---

9.
A geometry-optimized MnTlI3 structure, computed with GGA-PBE.

The structure in extended XYZ format:
```
20
Lattice="-3.152 2.744 1.062 0.172 -3.556 9.700 11.143 11.275 3.937" Properties=species:S:1:pos:R:3 pbc="T T T"
Mn 5.498 4.578 8.864
Mn 2.665 5.884 5.835
Mn 9.782 10.778 5.558
Mn -1.619 -0.315 9.141
Tl 3.010 0.923 10.925
Tl 5.153 9.540 3.774
Tl 1.232 0.989 5.477
Tl 6.931 9.474 9.221
I 7.809 8.694 13.841
I 0.354 1.769 0.858
I 4.429 7.139 7.827
I 3.734 3.323 6.872
I 0.103 1.843 8.676
I 8.060 8.620 6.023
I 0.904 4.518 4.139
I 7.259 5.945 10.560
I 3.270 4.675 10.757
I 4.893 5.788 3.942
I -2.229 0.976 3.995
I 10.392 9.487 10.704
```

Calculated values
energy relative to the elements, uncorrected: -2.5 eV per formula unit

---

10.
A geometry-optimized LiTiAl structure, computed with GGA-PBE.

The structure in extended XYZ format:
```
6
Lattice="-3.603 -1.929 -2.159 3.947 -2.359 0.468 -1.738 -1.981 4.672" Properties=species:S:1:pos:R:3 pbc="T T T"
Li 0.000 0.000 0.000
Li -0.869 -0.991 2.336
Al 0.127 -3.702 3.096
Al -1.521 -2.568 -0.115
Ti 0.996 -2.711 0.760
Ti -2.390 -3.559 2.221
```

Calculated values
E_form: -0.045 eV per atom
DOS(E_F): 1.44 states/eV/cell

---

11.
A geometry-optimized BeTl2P structure, computed with GGA-PBE.

The structure in extended XYZ format:
```
4
Lattice="3.645 0.000 0.000 0.000 4.204 -0.011 0.000 2.025 6.558" Properties=species:S:1:pos:R:3 pbc="T T T"
P 1.822 3.887 4.476
Tl 0.000 5.993 6.108
Tl 1.822 1.787 2.205
Be 0.000 3.906 3.577
```

Calculated values
E_form: 0.126 eV per atom
DOS(E_F): 0.85 states/eV/cell

---

12.
A geometry-optimized Li3CdSb structure, computed with GGA-PBE.

The structure in extended XYZ format:
```
20
Lattice="-2.416 5.065 0.064 -7.132 -3.409 0.579 5.183 2.353 9.455" Properties=species:S:1:pos:R:3 pbc="T T T"
Li -5.151 -1.783 3.977
Li 0.786 5.792 6.121
Li -1.160 3.262 1.376
Li -3.205 0.747 8.722
Li -4.002 1.641 3.876
Li -0.363 2.368 6.222
Li -2.127 -0.543 1.473
Li -2.238 4.552 8.625
Li -2.134 -0.079 5.662
Li -2.231 4.088 4.437
Li 0.784 4.377 9.153
Li -5.149 -0.369 0.945
Cd -4.770 -0.016 6.271
Cd 0.405 4.024 3.827
Cd 2.388 6.478 8.571
Cd -6.752 -2.469 1.528
Sb -6.152 2.079 1.906
Sb 1.787 1.929 8.193
Sb -1.095 1.362 3.473
Sb -3.269 2.646 6.626
```

Calculated values
DOS(E_F): 2.83 states/eV/cell
energy relative to the elements, uncorrected: -1.8 eV per formula unit

---

13.
A geometry-optimized K4MnZn structure, computed with GGA-PBE.

The structure in extended XYZ format:
```
6
Lattice="5.455 -2.738 -4.560 4.677 -5.466 2.511 -0.557 -7.069 -2.788" Properties=species:S:1:pos:R:3 pbc="T T T"
K 6.315 -7.097 -4.090
K 3.315 -9.258 -3.206
K 5.927 -8.458 -0.562
K 3.593 -5.731 -1.815
Mn 7.181 -11.455 -3.627
Zn 0.000 0.000 0.000
```

Calculated values
E_form: 0.727 eV per atom
DOS(E_F): 5.91 states/eV/cell

---

14.
A geometry-optimized KCuPbCl5 structure, computed with GGA-PBE.

The structure in extended XYZ format:
```
16
Lattice="-1.087 7.002 2.615 -6.012 -4.435 1.109 6.730 -3.795 6.807" Properties=species:S:1:pos:R:3 pbc="T T T"
K -2.665 -1.517 3.320
K 2.295 0.289 7.211
Cu -1.006 2.334 3.827
Cu 0.637 -3.562 6.704
Pb 3.365 -1.898 3.404
Pb 0.000 0.000 0.000
Cl -3.880 -4.338 2.948
Cl 3.510 3.110 7.583
Cl -1.990 4.353 3.411
Cl 1.620 -5.581 7.120
Cl 1.081 2.877 4.581
Cl -1.450 -4.105 5.951
Cl -1.457 0.691 5.337
Cl 1.088 -1.919 5.194
Cl -1.728 1.253 1.958
Cl 1.359 -2.481 8.573
```

Calculated values
DOS(E_F): 5.66 states/eV/cell
energy relative to the elements, uncorrected: -8.7 eV per formula unit

---

15.
A geometry-optimized HfH2I8 structure, computed with GGA-PBE.

The structure in extended XYZ format:
```
11
Lattice="11.174 -3.659 -3.199 -4.625 8.691 0.469 -5.482 -0.656 8.164" Properties=species:S:1:pos:R:3 pbc="T T T"
Hf 0.000 0.000 0.000
H 2.195 1.737 2.354
H -1.128 2.639 3.080
I -0.770 2.682 0.070
I 2.116 4.723 2.870
I -5.871 6.381 7.096
I 6.939 -2.005 -1.662
I -1.048 -0.347 2.564
I 1.838 1.694 5.364
I -1.642 3.671 4.276
I 2.710 0.705 1.158
```

Calculated values
total DFT energy (no corrections): -2.964 eV per atom

---

16.
A geometry-optimized PmTm8Sc2 structure, computed with GGA-PBE.

The structure in extended XYZ format:
```
11
Lattice="5.063 0.000 -1.537 -0.984 7.287 -3.241 0.003 -0.376 9.115" Properties=species:S:1:pos:R:3 pbc="T T T"
Pm 2.532 0.000 -0.769
Tm 2.423 6.084 -1.126
Tm 1.253 3.832 4.127
Tm 0.670 1.072 2.207
Tm 4.772 1.802 6.609
Tm 3.412 5.839 2.130
Tm 2.829 3.079 0.210
Tm 1.659 0.826 5.463
Tm -0.690 5.109 -2.272
Sc 0.325 4.951 1.072
Sc 3.757 1.960 3.265
```

Calculated values
E_form: 0.128 eV per atom
DOS(E_F): 17.10 states/eV/cell

---

17.
A geometry-optimized MgNiW structure, computed with GGA-PBE.

The structure in extended XYZ format:
```
6
Lattice="-1.524 4.052 0.289 0.194 -2.503 3.539 4.994 1.807 1.005" Properties=species:S:1:pos:R:3 pbc="T T T"
Ni 3.366 1.037 3.209
Ni 0.297 2.319 1.624
Mg 0.000 0.000 0.000
Mg 2.497 0.903 0.502
W 0.869 0.134 2.707
W 2.794 3.222 2.126
```

Calculated values
E_form: 0.407 eV per atom
DOS(E_F): 1.05 states/eV/cell

---

18.
A geometry-optimized RbAl3Ru structure, computed with GGA-PBE.

The structure in extended XYZ format:
```
5
Lattice="-0.094 4.181 -3.631 -3.971 -2.582 -2.870 -3.859 2.555 3.041" Properties=species:S:1:pos:R:3 pbc="T T T"
Ru -3.962 2.077 -1.730
Al -1.986 -1.291 -1.435
Al -1.930 1.278 1.521
Al -0.047 2.090 -1.816
Rb 0.000 0.000 0.000
```

Calculated values
E_form: 2.445 eV per atom
DOS(E_F): 7.80 states/eV/cell

---

19.
A geometry-optimized CeLuBi structure, computed with GGA-PBE.

The structure in extended XYZ format:
```
3
Lattice="4.031 0.000 0.000 0.000 4.031 0.000 -2.015 -2.015 5.506" Properties=species:S:1:pos:R:3 pbc="T T T"
Lu 0.000 0.000 3.303
Bi 2.015 2.015 4.861
Ce 2.015 2.015 1.195
```

Calculated values
E_form: -0.347 eV per atom
DOS(E_F): 7.49 states/eV/cell

---

20.
A geometry-optimized Zr6GaC4 structure, computed with GGA-PBE.

The structure in extended XYZ format:
```
22
Lattice="-0.860 0.822 -3.181 4.363 -3.936 -0.383 -11.864 -13.133 -0.185" Properties=species:S:1:pos:R:3 pbc="T T T"
Zr -0.430 0.411 -1.591
Zr -6.362 -6.156 -1.683
Zr -3.867 -4.862 -0.210
Zr -4.494 -11.386 -3.539
Zr -6.876 -14.023 -3.576
Zr -1.485 -2.225 -0.173
Zr -3.280 -7.065 -2.751
Zr -5.081 -9.182 -0.998
Zr -9.163 -13.701 -1.062
Zr 0.802 -2.546 -2.687
Zr -0.203 -5.759 -1.432
Zr -8.157 -10.488 -2.317
Ga -2.136 -4.002 -2.269
Ga -6.224 -12.246 -1.480
C -3.996 -9.229 -3.116
C 1.772 -4.502 -1.642
C -4.364 -7.019 -0.633
C -10.132 -11.745 -2.107
C -8.977 -14.742 -3.194
C 0.616 -1.505 -0.555
C -7.110 -8.400 -2.060
C -1.251 -7.848 -1.689
```

Calculated values
E_form: -0.768 eV per atom
DOS(E_F): 8.97 states/eV/cell

---

21.
A geometry-optimized V2FeSnSe structure, computed with GGA-PBE.

The structure in extended XYZ format:
```
5
Lattice="4.642 0.000 0.000 0.000 4.858 0.000 0.000 0.000 4.642" Properties=species:S:1:pos:R:3 pbc="T T T"
V 0.000 0.000 2.321
V 2.321 0.000 0.000
Sn 0.000 2.429 0.000
Se 2.321 2.429 2.321
Fe 0.000 0.000 0.000
```

Calculated values
DOS(E_F): 7.33 states/eV/cell
energy relative to the elements, uncorrected: 2.9 eV per formula unit

---

22.
A geometry-optimized Fe3Ir3Ru structure, computed with GGA-PBE.

The structure in extended XYZ format:
```
28
Lattice="2.729 0.000 0.000 0.000 12.753 0.000 0.000 0.000 10.733" Properties=species:S:1:pos:R:3 pbc="T T T"
Fe 2.047 9.144 8.975
Fe 0.682 9.986 3.608
Fe 0.682 3.610 1.758
Fe 2.047 2.767 7.124
Fe 2.047 2.819 10.583
Fe 0.682 3.557 5.217
Fe 0.682 9.934 0.149
Fe 2.047 9.196 5.516
Fe 2.047 0.004 7.396
Fe 0.682 6.373 2.030
Fe 0.682 12.750 3.336
Fe 2.047 6.381 8.703
Ir 2.047 11.979 9.834
Ir 0.682 7.152 4.467
Ir 0.682 0.775 0.899
Ir 2.047 5.602 6.265
Ir 2.047 11.622 5.154
Ir 0.682 7.508 10.520
Ir 0.682 1.132 5.579
Ir 2.047 5.245 0.213
Ir 2.047 8.541 2.016
Ir 0.682 10.589 7.382
Ir 0.682 4.213 8.717
Ir 2.047 2.164 3.351
Ru 2.047 11.331 1.796
Ru 0.682 7.800 7.162
Ru 0.682 1.423 8.937
Ru 2.047 4.954 3.571
```

Calculated values
E_form: 0.101 eV per atom
DOS(E_F): 32.83 states/eV/cell

---

23.
A geometry-optimized Rb4Ce3TmS8 structure, computed with GGA-PBE.

The structure in extended XYZ format:
```
16
Lattice="8.388 0.000 0.000 0.000 9.066 0.464 -4.194 -4.185 5.938" Properties=species:S:1:pos:R:3 pbc="T T T"
Rb 4.194 0.000 0.000
Rb 2.097 -2.092 2.969
Rb 0.000 0.000 0.000
Rb -2.097 -2.092 2.969
Ce 4.194 4.533 0.232
Ce 2.097 2.441 3.201
Ce -2.097 2.441 3.201
Tm 0.000 4.533 0.232
S -2.164 2.235 6.065
S 0.000 4.394 3.002
S 0.000 0.506 3.319
S 2.164 2.235 6.065
S 2.030 2.647 0.337
S 4.194 4.375 3.083
S 4.194 0.488 3.400
S 6.358 2.647 0.337
```

Calculated values
DOS(E_F): 18.49 states/eV/cell
energy relative to the elements, uncorrected: -28.4 eV per formula unit